No. 1
# TaP3Rh

A PBEsol-optimized structure of TaP3Rh (meta-GGA SCAN, the Alexandria database).

Total DFT energy (no corrections) ... -25.457 eV/atom
Total moment ... 0.6 μB per formula unit
ΔE_f ... 853 meV per atom
Space group ... Pm-3m, No. 221

a b c (Å): 4.6743 4.6743 4.6743
angles (deg): 90.00 90.00 90.00
Last column: nearest neighbours and their distance in Å.
Element x y z (fractional)
Rh  0.5000  0.5000  0.5000  12 P 3.31
P  0.5000  0.0000  0.0000  2 Ta 2.34
P  0.0000  0.0000  0.5000  2 Ta 2.34
P  0.0000  0.5000  0.0000  2 Ta 2.34
Ta  0.0000  0.0000  0.0000  6 P 2.34

No. 2
# TcP2Rh

A PBEsol-optimized structure of TcP2Rh (meta-GGA SCAN, the Alexandria database).

Total DFT energy (no corrections) ... -22.338 eV/atom
Total moment ... 0.0 μB per formula unit
Energy relative to the lowest polymorph listed for this composition ... 395 meV per atom
ΔE_f ... 69 meV per atom
Space group ... Cmmm, No. 65

a b c (Å): 2.9181 2.9078 7.4524
angles (deg): 90.00 90.00 120.12
Last column: nearest neighbours and their distance in Å.
Element x y z (fractional)
P  0.0000  0.0000  0.2490  2 Tc 2.36, 2 Rh 2.37
P  0.0000  0.0000  0.7510  2 Tc 2.36, 2 Rh 2.37
Tc  0.5000  0.0000  0.0000  4 P 2.36
Rh  0.5000  0.0000  0.5000  4 P 2.37

No. 3
# TcPRh

A PBEsol-optimized structure of TcPRh (meta-GGA SCAN, the Alexandria database).

Total DFT energy (no corrections) ... -26.242 eV/atom
Total moment ... 0.0 μB per formula unit
ΔE_f ... 169 meV per atom
Space group ... F-43m, No. 216

a b c (Å): 4.0154 4.0154 4.0154
angles (deg): 60.00 60.00 60.00
Last column: nearest neighbours and their distance in Å.
Element x y z (fractional)
Rh  0.2500  0.2500  0.2500  4 P 2.46, 4 Tc 2.46
Tc  0.0000  0.0000  0.0000  4 Rh 2.46
P  0.5000  0.5000  0.5000  4 Rh 2.46

No. 4
# Tc2PRh

A PBEsol-optimized structure of Tc2PRh (meta-GGA SCAN, the Alexandria database).

Total DFT energy (no corrections) ... -28.705 eV/atom
Total moment ... 0.0 μB per formula unit
ΔE_f ... -132 meV per atom
Space group ... R3m, No. 160

a b c (Å): 2.7598 2.7598 8.2232
angles (deg): 80.34 80.34 60.00
Last column: nearest neighbours and their distance in Å.
Element x y z (fractional)
Tc  0.7562  0.7562  0.7314  3 P 2.46, 3 Tc 2.67
Tc  0.0012  0.0012  0.9965  9 Tc 2.67-2.76, 3 Rh 2.74
Rh  0.2424  0.2424  0.2727  3 P 2.43
P  0.5002  0.5002  0.4994  3 Rh 2.43, 3 Tc 2.46

No. 5
# Tc2PRh

A PBEsol-optimized structure of Tc2PRh (meta-GGA SCAN, the Alexandria database).

Total DFT energy (no corrections) ... -28.501 eV/atom
Total moment ... 0.0 μB per formula unit
ΔE_f ... 71 meV per atom
Space group ... Cmmm, No. 65

a b c (Å): 2.8061 4.5883 4.5883
angles (deg): 115.31 90.00 90.00
Last column: nearest neighbours and their distance in Å.
Element x y z (fractional)
Tc  0.0000  0.5000  0.0000  2 Tc 2.45, 4 Rh 2.69, 4 P 2.69
Tc  0.0000  0.0000  0.5000  2 Tc 2.45, 4 P 2.69, 4 Rh 2.69
Rh  0.5000  0.5000  0.5000  2 P 2.45, 8 Tc 2.69
P  0.5000  0.0000  0.0000  2 Rh 2.45, 8 Tc 2.69

No. 6
# Tc2PRh

A PBEsol-optimized structure of Tc2PRh (meta-GGA SCAN, the Alexandria database).

Total DFT energy (no corrections) ... -28.499 eV/atom
Total moment ... 0.0 μB per formula unit
ΔE_f ... 74 meV per atom
Space group ... Pmmm, No. 47

a b c (Å): 2.8456 3.8206 4.9242
angles (deg): 90.00 90.00 90.00
Last column: nearest neighbours and their distance in Å.
Element x y z (fractional)
Tc  0.0000  0.0000  0.2379  2 Tc 2.34-2.58
Tc  0.0000  0.0000  0.7621  2 Tc 2.34-2.58
P  0.5000  0.5000  0.0000  2 Rh 2.46, 8 Tc 2.65
Rh  0.5000  0.5000  0.5000  2 P 2.46, 8 Tc 2.71

No. 7
# TcP2Rh

A PBEsol-optimized structure of TcP2Rh (meta-GGA SCAN, the Alexandria database).

Total DFT energy (no corrections) ... -22.734 eV/atom
Total moment ... 0.0 μB per formula unit
Energy relative to the lowest polymorph listed for this composition ... 0 meV per atom
ΔE_f ... -327 meV per atom
Space group ... R-3m, No. 166

a b c (Å): 2.8953 2.8953 7.3812
angles (deg): 78.69 78.69 60.00
Last column: nearest neighbours and their distance in Å.
Element x y z (fractional)
Tc  0.0000  0.0000  0.0000  6 P 2.43
Rh  0.5000  0.5000  0.5000  6 P 2.48
P  0.7486  0.7486  0.7542  3 Tc 2.43, 3 Rh 2.48
P  0.2514  0.2514  0.2458  3 Tc 2.43, 3 Rh 2.48

No. 8
# TcPRh3

A PBEsol-optimized structure of TcPRh3 (meta-GGA SCAN, the Alexandria database).

Total DFT energy (no corrections) ... -29.050 eV/atom
Total moment ... 5.0 μB per formula unit
ΔE_f ... 304 meV per atom
Space group ... Pm-3m, No. 221

a b c (Å): 4.3042 4.3042 4.3042
angles (deg): 90.00 90.00 90.00
Last column: nearest neighbours and their distance in Å.
Element x y z (fractional)
Rh  0.0000  0.5000  0.0000  2 P 2.15
Rh  0.0000  0.0000  0.5000  2 P 2.15
Rh  0.5000  0.0000  0.0000  2 P 2.15
Tc  0.5000  0.5000  0.5000  12 Rh 3.04
P  0.0000  0.0000  0.0000  6 Rh 2.15

No. 9
# TcP2Rh

A PBEsol-optimized structure of TcP2Rh (meta-GGA SCAN, the Alexandria database).

Total DFT energy (no corrections) ... -22.520 eV/atom
Total moment ... 0.0 μB per formula unit
Energy relative to the lowest polymorph listed for this composition ... 214 meV per atom
ΔE_f ... -113 meV per atom
Space group ... Pmmm, No. 47

a b c (Å): 2.8990 3.5761 5.1961
angles (deg): 90.00 90.00 90.00
Last column: nearest neighbours and their distance in Å.
Element x y z (fractional)
P  0.5000  0.0000  0.7843  1 P 2.24, 2 Rh 2.32
P  0.5000  0.0000  0.2157  1 P 2.24, 2 Rh 2.32
Tc  0.0000  0.5000  0.0000  8 P 2.56
Rh  0.5000  0.5000  0.5000  4 P 2.32

No. 10
# Te2PRh

A PBEsol-optimized structure of Te2PRh (meta-GGA SCAN, the Alexandria database).

Total DFT energy (no corrections) ... -29.483 eV/atom
Total moment ... 0.0 μB per formula unit
Space group ... R-3m, No. 166
Formation energy from raw total energies ... 185 meV per atom

a b c (Å): 3.8787 3.8787 8.2115
angles (deg): 76.34 76.34 60.00
Last column: nearest neighbours and their distance in Å.
Element x y z (fractional)
Te  0.8908  0.8908  0.3275  1 P 2.59, 3 Rh 2.62
Te  0.1092  0.1092  0.6725  1 P 2.59, 3 Rh 2.62
P  0.0000  0.0000  0.0000  2 Te 2.59
Rh  0.5000  0.5000  0.5000  6 Te 2.62

No. 11
# TeP2Rh

A PBEsol-optimized structure of TeP2Rh (meta-GGA SCAN, the Alexandria database).

Total DFT energy (no corrections) ... -23.132 eV/atom
Total moment ... 0.0 μB per formula unit
Space group ... P2/m, No. 10
Formation energy from raw total energies ... -177 meV per atom

a b c (Å): 3.5625 4.4922 4.6722
angles (deg): 109.39 90.00 90.00
Last column: nearest neighbours and their distance in Å.
Element x y z (fractional)
P  0.0000  0.2578  0.3338  1 P 2.21, 2 Rh 2.39
P  0.0000  0.7422  0.6662  1 P 2.21, 2 Rh 2.39
Rh  0.5000  0.0000  0.5000  4 P 2.39, 2 Te 2.65
Te  0.5000  0.5000  0.0000  2 Rh 2.65, 4 P 2.81

No. 12
# TePRh2

A PBEsol-optimized structure of TePRh2 (meta-GGA SCAN, the Alexandria database).

Total DFT energy (no corrections) ... -28.950 eV/atom
Total moment ... 0.0 μB per formula unit
Energy relative to the lowest polymorph listed for this composition ... 0 meV per atom
Space group ... P4/mmm, No. 123
Formation energy from raw total energies ... -151 meV per atom

a b c (Å): 2.9762 2.9762 7.0253
angles (deg): 90.00 90.00 89.96
Last column: nearest neighbours and their distance in Å.
Element x y z (fractional)
P  0.5000  0.5000  0.0000  8 Rh 2.49
Te  0.5000  0.5000  0.5000  4 Te 2.98, 8 Rh 3.03
Rh  0.0000  0.0000  0.8097  4 P 2.49, 1 Rh 2.67
Rh  0.0000  0.0000  0.1903  4 P 2.49, 1 Rh 2.67